*one*
VASP calculation (PBE) on a relaxed structure of TlTeF2.

Structure (POSCAR):
```
TlTeF2
1.0
0.000 3.387 3.387
3.387 0.000 3.387
3.387 3.387 0.000
Tl Te F
1 1 2
Cartesian
0.000 0.000 0.000 Tl
3.387 3.387 3.387 Te
1.693 1.693 1.693 F
5.080 5.080 5.080 F
```

Properties
For the magnetic moment, the calculation gives 0.56 μB/atom.

---

*two*
VASP calculation (PBE) on a relaxed structure of TlTeF2.

Structure (POSCAR):
```
TlTeF2
1.0
1.925 1.111 7.644
-1.925 1.111 7.644
0.000 -2.222 7.644
Tl Te F
1 1 2
Cartesian
0.000 0.000 0.000 Tl
0.000 0.000 11.466 Te
0.000 0.000 9.285 F
0.000 0.000 13.648 F
```

Properties
For the magnetic moment, the calculation gives 0.00 μB/atom.

---

Quick one: most stable of them? *two*

---

*one*
VASP calculation (PBE) on a relaxed structure of Tl2Te2F.

Structure (POSCAR):
```
Tl2Te2F
1.0
7.023 0.000 0.000
0.000 7.023 0.000
0.000 0.000 6.247
Tl Te F
4 4 2
Cartesian
1.229 2.282 0.000 Tl
2.282 5.793 0.000 Tl
4.741 1.229 0.000 Tl
5.793 4.741 0.000 Tl
0.981 4.492 3.123 Te
2.531 0.981 3.123 Te
4.492 6.042 3.123 Te
6.042 2.531 3.123 Te
0.000 0.000 0.000 F
3.511 3.511 0.000 F
```

Properties
For the magnetic moment, the calculation gives 0.00 μB/atom.

---

*two*
VASP calculation (PBE) on a relaxed structure of Tl2Te2F.

Structure (POSCAR):
```
Tl2Te2F
1.0
-2.159 2.159 8.860
2.159 -2.159 8.860
2.159 2.159 -8.860
Tl Te F
2 2 1
Cartesian
0.000 0.000 1.609 Tl
0.000 0.000 16.111 Tl
2.159 0.000 4.430 Te
0.000 2.159 4.430 Te
0.000 0.000 8.860 F
```

Properties
For the magnetic moment, the calculation gives 0.00 μB/atom.

---

Quick one: most stable of them? *one*

---

*one*
VASP calculation (PBE) on a relaxed structure of TlTeF6.

Structure (POSCAR):
```
TlTeF6
1.0
3.541 -4.017 0.000
3.541 4.017 0.000
-0.922 0.000 5.245
Tl Te F
1 1 6
Cartesian
0.000 0.000 0.000 Tl
3.080 0.000 2.622 Te
2.677 1.383 1.260 F
1.158 0.000 3.113 F
3.483 1.383 3.985 F
2.677 -1.383 1.260 F
5.001 0.000 2.132 F
3.483 -1.383 3.985 F
```

Properties
For the magnetic moment, the calculation gives 0.13 μB/atom.

---

*two*
VASP calculation (PBE) on a relaxed structure of TlTeF6.

Structure (POSCAR):
```
TlTeF6
1.0
2.881 1.664 5.373
-2.881 1.664 5.373
0.000 -3.327 5.373
Tl Te F
1 1 6
Cartesian
0.000 0.000 0.000 Tl
0.000 0.000 8.059 Te
-1.390 -0.802 6.899 F
0.000 -1.605 9.219 F
-1.390 0.802 9.219 F
1.390 -0.802 6.899 F
0.000 1.605 6.899 F
1.390 0.802 9.219 F
```

Properties
For the magnetic moment, the calculation gives 0.12 μB/atom.

---

Quick one: most stable of them? *one*

---

*one*
VASP calculation (PBE) on a relaxed structure of TlTeF3.

Structure (POSCAR):
```
TlTeF3
1.0
4.649 0.000 0.000
0.000 4.649 0.000
0.000 0.000 4.649
Tl Te F
1 1 3
Cartesian
0.000 0.000 0.000 Tl
2.325 2.325 2.325 Te
0.000 0.000 2.325 F
0.000 2.325 0.000 F
2.325 0.000 0.000 F
```

Properties
For the magnetic moment, the calculation gives 0.48 μB/atom.

---

*two*
VASP calculation (PBE) on a relaxed structure of TlTeF3.

Structure (POSCAR):
```
TlTeF3
1.0
4.345 0.000 0.000
0.004 7.344 0.000
2.126 2.786 7.173
Tl Te F
2 2 6
Cartesian
0.000 0.000 0.000 Tl
2.172 7.124 3.862 Tl
2.187 3.810 0.811 Te
4.362 3.322 3.028 Te
1.446 2.762 4.497 F
2.209 5.851 1.355 F
2.280 1.766 0.316 F
4.457 5.365 3.520 F
4.386 1.277 2.499 F
5.737 7.168 6.512 F
```

Properties
For the magnetic moment, the calculation gives 0.00 μB/atom.

---

*three*
VASP calculation (PBE) on a relaxed structure of TlTeF3.

Structure (POSCAR):
```
TlTeF3
1.0
4.747 0.000 0.000
0.000 4.747 0.000
0.000 0.000 4.747
Tl Te F
1 1 3
Cartesian
0.000 0.000 0.000 Tl
2.374 2.374 2.374 Te
0.000 2.374 2.374 F
2.374 0.000 2.374 F
2.374 2.374 0.000 F
```

Properties
For the magnetic moment, the calculation gives 0.00 μB/atom.

---

Quick one: most stable of them? *two*

---

*one*
VASP calculation (PBE) on a relaxed structure of Tl2TeF6.

Structure (POSCAR):
```
Tl2TeF6
1.0
3.899 -4.125 0.000
3.899 4.125 0.000
-3.392 0.000 6.278
Tl Te F
2 1 6
Cartesian
0.194 0.000 2.061 Tl
4.211 0.000 4.218 Tl
3.899 0.000 0.000 Te
-1.599 0.000 6.124 F
0.631 1.430 4.752 F
3.775 1.430 1.526 F
0.631 -1.430 4.752 F
3.775 -1.430 1.526 F
6.004 0.000 0.154 F
```

Properties
For the magnetic moment, the calculation gives 0.00 μB/atom.

---

*two*
VASP calculation (PBE) on a relaxed structure of Tl2TeF6.

Structure (POSCAR):
```
Tl2TeF6
1.0
0.000 4.528 4.528
4.528 0.000 4.528
4.528 4.528 0.000
Tl Te F
2 1 6
Cartesian
2.264 2.264 2.264 Tl
6.792 6.792 6.792 Tl
0.000 0.000 0.000 Te
4.528 4.528 2.093 F
4.528 2.093 4.528 F
6.963 4.528 4.528 F
2.093 4.528 4.528 F
4.528 6.963 4.528 F
4.528 4.528 6.963 F
```

Properties
For the magnetic moment, the calculation gives 0.00 μB/atom.

---

Quick one: most stable of them? *one*

---

*one*
VASP calculation (PBE) on a relaxed structure of UTeF.

Structure (POSCAR):
```
UTeF
1.0
4.236 0.000 0.000
-2.118 3.669 0.000
0.000 0.000 4.329
U Te F
1 1 1
Cartesian
0.000 0.000 0.000 U
2.118 1.223 2.164 Te
0.000 2.446 0.000 F
```

Properties
For the magnetic moment, the calculation gives 0.98 μB/atom.

---

*two*
VASP calculation (PBE) on a relaxed structure of UTeF.

Structure (POSCAR):
```
UTeF
1.0
4.092 0.000 0.000
-0.009 4.144 0.000
-0.008 -0.036 7.846
U Te F
2 2 2
Cartesian
1.012 1.009 1.613 U
3.063 3.100 6.233 U
1.021 1.024 4.994 Te
3.053 3.084 2.852 Te
1.008 3.125 0.001 F
3.067 0.983 7.844 F
```

Properties
For the magnetic moment, the calculation gives 0.99 μB/atom.

---

Quick one: most stable of them? *one*